# PBE TaMoW14, optimized geometry
data_TaMoW14
_cell_length_a 6.3969
_cell_length_b 8.9956
_cell_length_c 9.0395
_cell_angle_alpha 90.00
_cell_angle_beta 90.00
_cell_angle_gamma 90.00
_space_group_name_H-M_alt 'C m m m'
_space_group_IT_number 65
_space_group_name_Hall '-C 2 2'
loop_
_atom_site_label
_atom_site_fract_x
_atom_site_fract_y
_atom_site_fract_z
Ta1 0.0000 0.0000 0.0000
Mo1 0.0000 0.5000 0.0000
W1 0.0000 0.0000 0.5000
W2 0.0000 0.2495 0.2504
W3 0.0000 0.5000 0.5000
W4 0.2488 0.5000 0.2518
W5 0.2500 0.2500 0.0000
W6 0.2500 0.2500 0.5000
# Total moment   0.00 μB per formula unit
# DFT formation energy   -0.52 eV per formula unit
# Calculated total energy   -204.552 eV per formula unit
# Density   18.20 g/cm3